(1)
The following is a DFT calculation (PBE) of a relaxed Y2MoPd crystal.

Cell lengths 7.6944, 7.6944, 6.3082 Å; angles 90.00, 90.00, 90.00 degrees
Space group I-42d (No. 122)
Unique sites:
Y  0.2302  0.2500  0.1250 x8
Mo  0.0000  0.0000  0.5000 x4
Pd  0.0000  0.0000  0.0000 x4

* formation enthalpy at 0 K: 296 meV/atom

---

(2)
The following is a DFT calculation (PBE) of a relaxed YMo3Pd crystal.

Cell lengths 4.8124, 4.8124, 4.8124 Å; angles 90.00, 90.00, 90.00 degrees
Space group Pm-3m (No. 221)
Unique sites:
Y  0.0000  0.0000  0.0000 x1
Mo  0.0000  0.5000  0.5000 x3
Pd  0.5000  0.5000  0.5000 x1

* formation enthalpy at 0 K: 1449 meV/atom

---

no.,relative energy among the computed polymorphs (meV per atom)
1,334
2,0